#a
Here is a geometry-optimized NaCrTc2 structure from Alexandria. Energies are from PBE-GGA.

Values from the calculation:
- V: 17.7 Å³/atom
- ρ: 6.3 g cm⁻³

POSCAR file:
```
NaCrTc2
1.0
3.788 0.000 0.000
0.000 3.788 0.000
1.894 1.894 9.881
Tc Na Cr
4 2 2
direct
0.683 0.125 0.250 Tc
0.375 0.317 0.750 Tc
0.067 0.625 0.250 Tc
0.875 0.933 0.750 Tc
0.250 0.750 0.500 Na
0.500 0.500 0.000 Na
0.750 0.250 0.500 Cr
0.000 0.000 0.000 Cr
```

#b
Here is a geometry-optimized NaCrTc2 structure from Alexandria. Energies are from PBE-GGA.

Values from the calculation:
- V: 14.3 Å³/atom
- ρ: 7.9 g cm⁻³

POSCAR file:
```
NaCrTc2
1.0
-1.370 1.841 3.661
-0.389 4.296 0.244
-3.920 1.808 0.174
Tc Cr Na
2 1 1
direct
0.250 0.250 0.250 Tc
0.750 0.750 0.750 Tc
0.500 0.500 0.500 Cr
0.000 0.000 0.000 Na
```

It comes down to #b, which is 26.5 kJ/mol of atoms more stable than the next structure.

#a
Here is a geometry-optimized NaY2CrTc structure from Alexandria. Energies are from PBE-GGA.

Values from the calculation:
- V: 26.2 Å³/atom
- ρ: 4.4 g cm⁻³

POSCAR file:
```
NaY2CrTc
1.0
-0.413 5.079 -1.532
0.497 -1.293 -4.422
-5.274 -0.559 -0.429
Y Na Cr Tc
2 1 1 1
direct
0.000 0.000 0.500 Y
0.500 0.000 0.000 Y
0.000 0.000 0.000 Na
0.500 0.500 0.500 Cr
0.000 0.500 0.000 Tc
```

#b
Here is a geometry-optimized NaY2CrTc structure from Alexandria. Energies are from PBE-GGA.

Values from the calculation:
- V: 27.3 Å³/atom
- ρ: 4.3 g cm⁻³

POSCAR file:
```
NaY2CrTc
1.0
5.222 0.000 0.000
0.000 5.012 0.000
0.000 0.000 5.222
Y Na Cr Tc
2 1 1 1
direct
0.000 0.000 0.500 Y
0.500 0.000 0.000 Y
0.000 0.500 0.000 Na
0.000 0.000 0.000 Cr
0.500 0.500 0.500 Tc
```

It comes down to #b, which is 26.2 kJ/mol of atoms more stable than the next structure.

#a
Here is a geometry-optimized NaCrTe3 structure from Alexandria. Energies are from PBE-GGA.

Values from the calculation:
- V: 31.7 Å³/atom
- ρ: 4.8 g cm⁻³

POSCAR file:
```
NaCrTe3
1.0
5.414 0.000 0.000
0.000 5.414 0.000
0.000 0.000 5.414
Te Cr Na
3 1 1
direct
0.500 0.000 0.000 Te
0.000 0.500 0.000 Te
0.000 0.000 0.500 Te
0.500 0.500 0.500 Cr
0.000 0.000 0.000 Na
```

#b
Here is a geometry-optimized NaCrTe3 structure from Alexandria. Energies are from PBE-GGA.

Values from the calculation:
- V: 28.2 Å³/atom
- ρ: 5.4 g cm⁻³

POSCAR file:
```
NaCrTe3
1.0
5.206 0.000 0.000
0.000 5.206 0.000
0.000 0.000 5.206
Te Na Cr
3 1 1
direct
0.000 0.000 0.500 Te
0.500 0.000 0.000 Te
0.000 0.500 0.000 Te
0.500 0.500 0.500 Na
0.000 0.000 0.000 Cr
```

It comes down to #b, which is 68.2 kJ/mol of atoms more stable than the next structure.

#a
Here is a geometry-optimized NaCr2Te2 structure from Alexandria. Energies are from PBE-GGA.

Values from the calculation:
- V: 22.4 Å³/atom
- ρ: 5.7 g cm⁻³

POSCAR file:
```
NaCr2Te2
1.0
3.771 0.000 0.000
0.000 3.771 0.000
1.886 1.886 7.860
Te Cr Na
2 2 1
direct
0.366 0.366 0.268 Te
0.634 0.634 0.732 Te
0.250 0.750 0.500 Cr
0.750 0.250 0.500 Cr
0.000 0.000 0.000 Na
```

#b
Here is a geometry-optimized NaCr2Te2 structure from Alexandria. Energies are from PBE-GGA.

Values from the calculation:
- V: 24.7 Å³/atom
- ρ: 5.1 g cm⁻³

POSCAR file:
```
NaCr2Te2
1.0
-4.970 -6.296 -1.560
-0.396 -1.667 7.990
-2.934 2.237 0.321
Cr Te Na
4 4 2
direct
0.582 0.918 0.500 Cr
0.082 0.582 0.500 Cr
0.418 0.082 0.500 Cr
0.918 0.418 0.500 Cr
0.663 0.163 0.000 Te
0.837 0.663 0.000 Te
0.337 0.837 0.000 Te
0.163 0.337 0.000 Te
0.500 0.500 0.000 Na
0.000 0.000 0.000 Na
```

It comes down to #a, which is 26.4 kJ/mol of atoms more stable than the next structure.

#a
Here is a geometry-optimized NaCrTe structure from Alexandria. Energies are from PBE-GGA.

Values from the calculation:
- V: 25.5 Å³/atom
- ρ: 4.4 g cm⁻³

POSCAR file:
```
NaCrTe
1.0
3.831 0.000 0.000
1.915 3.318 0.000
1.915 1.106 12.034
Cr Na Te
2 2 2
direct
0.319 0.319 0.044 Cr
0.681 0.681 0.956 Cr
0.876 0.876 0.373 Na
0.124 0.124 0.627 Na
0.390 0.390 0.829 Te
0.610 0.610 0.171 Te
```

#b
Here is a geometry-optimized NaCrTe structure from Alexandria. Energies are from PBE-GGA.

Values from the calculation:
- V: 23.2 Å³/atom
- ρ: 4.8 g cm⁻³

POSCAR file:
```
NaCrTe
1.0
-1.787 -1.679 -3.543
2.426 -3.532 0.451
-5.357 -3.144 4.193
Na Te Cr
2 2 2
direct
0.000 0.500 0.841 Na
0.500 0.000 0.159 Na
0.500 0.000 0.717 Te
0.000 0.500 0.283 Te
0.000 0.000 0.500 Cr
0.500 0.500 0.500 Cr
```

It comes down to #b, which is 9.6 kJ/mol of atoms more stable than the next structure.

#a
Here is a geometry-optimized NaTiCr2 structure from Alexandria. Energies are from PBE-GGA.

Values from the calculation:
- V: 15.8 Å³/atom
- ρ: 4.6 g cm⁻³

POSCAR file:
```
NaTiCr2
1.0
-0.098 0.599 -3.643
-2.747 -2.448 -0.328
-7.612 5.851 -0.705
Cr Ti Na
4 2 2
direct
0.875 0.319 0.750 Cr
0.681 0.625 0.250 Cr
0.069 0.125 0.250 Cr
0.375 0.931 0.750 Cr
0.000 0.000 0.000 Ti
0.750 0.250 0.500 Ti
0.250 0.750 0.500 Na
0.500 0.500 0.000 Na
```

#b
Here is a geometry-optimized NaTiCr2 structure from Alexandria. Energies are from PBE-GGA.

Values from the calculation:
- V: 15.1 Å³/atom
- ρ: 4.8 g cm⁻³

POSCAR file:
```
NaTiCr2
1.0
0.000 3.116 3.116
3.116 0.000 3.116
3.116 3.116 0.000
Cr Ti Na
2 1 1
direct
0.750 0.750 0.750 Cr
0.250 0.250 0.250 Cr
0.500 0.500 0.500 Ti
0.000 0.000 0.000 Na
```

It comes down to #b, which is 3.6 kJ/mol of atoms more stable than the next structure.

#a
Here is a geometry-optimized Na2TiCr structure from Alexandria. Energies are from PBE-GGA.

Values from the calculation:
- V: 19.8 Å³/atom
- ρ: 3.1 g cm⁻³

POSCAR file:
```
Na2TiCr
1.0
0.000 3.407 3.407
3.407 0.000 3.407
3.407 3.407 0.000
Na Ti Cr
2 1 1
direct
0.250 0.250 0.250 Na
0.750 0.750 0.750 Na
0.000 0.000 0.000 Ti
0.500 0.500 0.500 Cr
```

#b
Here is a geometry-optimized Na2TiCr structure from Alexandria. Energies are from PBE-GGA.

Values from the calculation:
- V: 23.2 Å³/atom
- ρ: 2.6 g cm⁻³

POSCAR file:
```
Na2TiCr
1.0
8.382 0.000 0.000
0.000 8.382 0.000
4.191 4.191 2.644
Cr Na Ti
2 4 2
direct
0.000 0.000 0.000 Cr
0.750 0.250 0.500 Cr
0.875 0.895 0.750 Na
0.375 0.355 0.750 Na
0.105 0.625 0.250 Na
0.645 0.125 0.250 Na
0.500 0.500 0.000 Ti
0.250 0.750 0.500 Ti
```

It comes down to #b, which is 42.6 kJ/mol of atoms more stable than the next structure.

#a
Here is a geometry-optimized NaTl3Cr structure from Alexandria. Energies are from PBE-GGA.

Values from the calculation:
- V: 30.0 Å³/atom
- ρ: 7.6 g cm⁻³

POSCAR file:
```
NaTl3Cr
1.0
5.313 0.000 0.000
0.000 5.313 0.000
0.000 0.000 5.313
Tl Na Cr
3 1 1
direct
0.000 0.000 0.500 Tl
0.000 0.500 0.000 Tl
0.500 0.000 0.000 Tl
0.500 0.500 0.500 Na
0.000 0.000 0.000 Cr
```

#b
Here is a geometry-optimized NaTl3Cr structure from Alexandria. Energies are from PBE-GGA.

Values from the calculation:
- V: 33.8 Å³/atom
- ρ: 6.8 g cm⁻³

POSCAR file:
```
NaTl3Cr
1.0
5.527 0.000 0.000
0.000 5.527 0.000
0.000 0.000 5.527
Tl Na Cr
3 1 1
direct
0.000 0.000 0.500 Tl
0.500 0.000 0.000 Tl
0.000 0.500 0.000 Tl
0.000 0.000 0.000 Na
0.500 0.500 0.500 Cr
```

It comes down to #a, which is 49.1 kJ/mol of atoms more stable than the next structure.